Material: Na3Fe2O4
Method: DFT, PBE with a Hubbard U
State: optimized geometry

Cell and atoms, written as CIF:
```
data_Na3Fe2O4
_chemical_formula_sum 'Na12 Fe8 O16'
_cell_length_a 10.704
_cell_length_b 8.053
_cell_length_c 5.602
_cell_angle_alpha 90.00
_cell_angle_beta 90.91
_cell_angle_gamma 90.00
_space_group_name_H-M_alt 'C 1 2/c 1'
_space_group_IT_number 15
loop_
_space_group_symop_operation_xyz
'x,y,z'
'-x,-y,-z'
'-x,y,-z+1/2'
'x,-y,z+1/2'
'x+1/2,y+1/2,z'
'-x+1/2,-y+1/2,-z'
'-x+1/2,y+1/2,-z+1/2'
'x+1/2,-y+1/2,z+1/2'
loop_
_atom_site_label
_atom_site_type_symbol
_atom_site_fract_x
_atom_site_fract_y
_atom_site_fract_z
Na1 Na 0.000 0.107 0.250
Na2 Na 0.104 0.366 0.513
Fe1 Fe 0.201 0.121 0.903
O1 O 0.120 0.326 0.035
O2 O 0.155 0.081 0.571
```

Calculated values
**Total DFT energy (no corrections)**: -191.57 eV for the cell shown